1.
# PaAlZnGa | Alexandria | PBE | optimized geometry
data_PaAlZnGa
_chemical_formula_sum 'Pa1 Al1 Zn1 Ga1'
_symmetry_space_group_name_H-M 'P m m m'
_symmetry_Int_Tables_number 47
_cell_length_a 2.970
_cell_length_b 5.259
_cell_length_c 5.318
_cell_angle_alpha 90.00
_cell_angle_beta 90.00
_cell_angle_gamma 90.00
loop_
_symmetry_equiv_pos_as_xyz
'x,y,z'
'-x,-y,-z'
'-x,-y,z'
'x,y,-z'
'x,-y,-z'
'-x,y,z'
'-x,y,-z'
'x,-y,z'
loop_
_atom_site_label
_atom_site_type_symbol
_atom_site_fract_x
_atom_site_fract_y
_atom_site_fract_z
Pa1 Pa 0.000 0.000 0.000
Al1 Al 0.500 0.500 0.500
Zn1 Zn 0.500 0.000 0.500
Ga1 Ga 0.500 0.500 0.000
# Formation energy: 124 meV per atom
# Fermi-level density of states: 5.2 states/eV/cell
# Excess energy over the best structure of this formula in the dataset: 5.527 kcal/mol of atoms

***

2.
# AlGaPb | Alexandria | PBE | optimized geometry
data_AlGaPb
_chemical_formula_sum 'Al4 Ga4 Pb4'
_symmetry_space_group_name_H-M 'C 1 2 1'
_symmetry_Int_Tables_number 5
_cell_length_a 9.336
_cell_length_b 7.499
_cell_length_c 4.518
_cell_angle_alpha 90.00
_cell_angle_beta 118.81
_cell_angle_gamma 90.00
loop_
_symmetry_equiv_pos_as_xyz
'x,y,z'
'-x,y,-z'
'x+1/2,y+1/2,z'
'-x+1/2,y+1/2,-z'
loop_
_atom_site_label
_atom_site_type_symbol
_atom_site_fract_x
_atom_site_fract_y
_atom_site_fract_z
Al1 Al 0.096 0.000 0.346
Ga1 Ga 0.097 0.635 0.347
Pb1 Pb 0.169 0.315 0.921
# Formation energy: 110 meV per atom
# Fermi-level density of states: 5.8 states/eV/cell
# Excess energy over the best structure of this formula in the dataset: 0.766 kcal/mol of atoms

***

3.
# AlGa7Pb2 | Alexandria | PBE | optimized geometry
data_AlGa7Pb2
_chemical_formula_sum 'Al1 Ga7 Pb2'
_symmetry_space_group_name_H-M 'P -4 m 2'
_symmetry_Int_Tables_number 115
_cell_length_a 4.403
_cell_length_b 4.403
_cell_length_c 11.164
_cell_angle_alpha 90.00
_cell_angle_beta 90.00
_cell_angle_gamma 90.00
loop_
_symmetry_equiv_pos_as_xyz
'x,y,z'
'y,-x,-z'
'-x,-y,z'
'-y,x,-z'
'-x,y,z'
'-y,-x,-z'
'x,-y,z'
'y,x,-z'
loop_
_atom_site_label
_atom_site_type_symbol
_atom_site_fract_x
_atom_site_fract_y
_atom_site_fract_z
Al1 Al 0.000 0.000 0.000
Ga1 Ga 0.000 0.000 0.500
Ga2 Ga 0.000 0.500 0.138
Ga3 Ga 0.000 0.500 0.362
Ga4 Ga 0.500 0.500 0.000
Ga5 Ga 0.500 0.500 0.500
Pb1 Pb 0.000 0.500 0.754
# Formation energy: 35 meV per atom
# Fermi-level density of states: 3.2 states/eV/cell

***

4.
# AlGaPb | Alexandria | PBE | optimized geometry
data_AlGaPb
_chemical_formula_sum 'Al2 Ga2 Pb2'
_symmetry_space_group_name_H-M 'P m m 2'
_symmetry_Int_Tables_number 25
_cell_length_a 4.219
_cell_length_b 4.239
_cell_length_c 7.686
_cell_angle_alpha 90.00
_cell_angle_beta 90.00
_cell_angle_gamma 90.00
loop_
_symmetry_equiv_pos_as_xyz
'x,y,z'
'-x,-y,z'
'-x,y,z'
'x,-y,z'
loop_
_atom_site_label
_atom_site_type_symbol
_atom_site_fract_x
_atom_site_fract_y
_atom_site_fract_z
Al1 Al 0.000 0.000 0.000
Al2 Al 0.000 0.500 0.233
Ga1 Ga 0.500 0.000 0.770
Ga2 Ga 0.500 0.500 0.004
Pb1 Pb 0.000 0.500 0.630
Pb2 Pb 0.500 0.000 0.368
# Formation energy: 92 meV per atom
# Fermi-level density of states: 2.4 states/eV/cell
# Excess energy over the best structure of this formula in the dataset: 0.358 kcal/mol of atoms

***

5.
# AlGaPb | Alexandria | PBE | optimized geometry
data_AlGaPb
_chemical_formula_sum 'Al2 Ga2 Pb2'
_symmetry_space_group_name_H-M 'P 4/n m m'
_symmetry_Int_Tables_number 129
_cell_length_a 3.507
_cell_length_b 3.507
_cell_length_c 11.122
_cell_angle_alpha 90.00
_cell_angle_beta 90.00
_cell_angle_gamma 90.00
loop_
_symmetry_equiv_pos_as_xyz
'x,y,z'
'-x,-y,-z'
'-y+1/2,x,z'
'y+1/2,-x,-z'
'-x+1/2,-y+1/2,z'
'x+1/2,y+1/2,-z'
'y,-x+1/2,z'
'-y,x+1/2,-z'
'x+1/2,-y,-z'
'-x+1/2,y,z'
'-y,-x,-z'
'y,x,z'
'-x,y+1/2,-z'
'x,-y+1/2,z'
'y+1/2,x+1/2,-z'
'-y+1/2,-x+1/2,z'
loop_
_atom_site_label
_atom_site_type_symbol
_atom_site_fract_x
_atom_site_fract_y
_atom_site_fract_z
Al1 Al 0.250 0.250 0.065
Ga1 Ga 0.250 0.250 0.813
Pb1 Pb 0.250 0.250 0.375
# Formation energy: 80 meV per atom
# Fermi-level density of states: 2.3 states/eV/cell
# Excess energy over the best structure of this formula in the dataset: 0.074 kcal/mol of atoms

***

6.
# Al2GaPb2 | Alexandria | PBE | optimized geometry
data_Al2GaPb2
_chemical_formula_sum 'Al4 Ga2 Pb4'
_symmetry_space_group_name_H-M 'I 4/m m m'
_symmetry_Int_Tables_number 139
_symmetry_space_group_name_Hall '-I 4 2'
_cell_length_a 3.927
_cell_length_b 3.927
_cell_length_c 16.610
_cell_angle_alpha 90.00
_cell_angle_beta 90.00
_cell_angle_gamma 90.00
loop_
_atom_site_label
_atom_site_type_symbol
_atom_site_fract_x
_atom_site_fract_y
_atom_site_fract_z
Al1 Al 0.000 0.500 0.250
Ga1 Ga 0.000 0.000 0.000
Pb1 Pb 0.000 0.000 0.391
# Formation energy: 212 meV per atom
# Fermi-level density of states: 5.0 states/eV/cell
# Excess energy over the best structure of this formula in the dataset: 1.247 kcal/mol of atoms

***

7.
# AlGaPb | Alexandria | PBE | optimized geometry
data_AlGaPb
_chemical_formula_sum 'Al2 Ga2 Pb2'
_symmetry_space_group_name_H-M 'P 4/n m m'
_symmetry_Int_Tables_number 129
_cell_length_a 4.124
_cell_length_b 4.124
_cell_length_c 8.043
_cell_angle_alpha 90.00
_cell_angle_beta 90.00
_cell_angle_gamma 90.00
loop_
_symmetry_equiv_pos_as_xyz
'x,y,z'
'-x,-y,-z'
'-y+1/2,x,z'
'y+1/2,-x,-z'
'-x+1/2,-y+1/2,z'
'x+1/2,y+1/2,-z'
'y,-x+1/2,z'
'-y,x+1/2,-z'
'x+1/2,-y,-z'
'-x+1/2,y,z'
'-y,-x,-z'
'y,x,z'
'-x,y+1/2,-z'
'x,-y+1/2,z'
'y+1/2,x+1/2,-z'
'-y+1/2,-x+1/2,z'
loop_
_atom_site_label
_atom_site_type_symbol
_atom_site_fract_x
_atom_site_fract_y
_atom_site_fract_z
Al1 Al 0.250 0.750 0.000
Ga1 Ga 0.250 0.250 0.223
Pb1 Pb 0.250 0.250 0.632
# Formation energy: 77 meV per atom
# Fermi-level density of states: 2.7 states/eV/cell
# Excess energy over the best structure of this formula in the dataset: 0.000 kcal/mol of atoms

***

8.
# AlGaPb | Alexandria | PBE | optimized geometry
data_AlGaPb
_chemical_formula_sum 'Al4 Ga4 Pb4'
_symmetry_space_group_name_H-M 'F -4 3 m'
_symmetry_Int_Tables_number 216
_symmetry_space_group_name_Hall 'F -4 2 3'
_cell_length_a 6.725
_cell_length_b 6.725
_cell_length_c 6.725
_cell_angle_alpha 90.00
_cell_angle_beta 90.00
_cell_angle_gamma 90.00
loop_
_atom_site_label
_atom_site_type_symbol
_atom_site_fract_x
_atom_site_fract_y
_atom_site_fract_z
Al1 Al 0.000 0.000 0.000
Ga1 Ga 0.250 0.250 0.750
Pb1 Pb 0.250 0.250 0.250
# Formation energy: 155 meV per atom
# Fermi-level density of states: 4.2 states/eV/cell
# Excess energy over the best structure of this formula in the dataset: 1.815 kcal/mol of atoms

***

9.
# AlGaPb | Alexandria | PBE | optimized geometry
data_AlGaPb
_chemical_formula_sum 'Al4 Ga4 Pb4'
_symmetry_space_group_name_H-M 'C 1 2/c 1'
_symmetry_Int_Tables_number 15
_cell_length_a 7.871
_cell_length_b 8.247
_cell_length_c 5.624
_cell_angle_alpha 90.00
_cell_angle_beta 131.86
_cell_angle_gamma 90.00
loop_
_symmetry_equiv_pos_as_xyz
'x,y,z'
'-x,-y,-z'
'-x,y,-z+1/2'
'x,-y,z+1/2'
'x+1/2,y+1/2,z'
'-x+1/2,-y+1/2,-z'
'-x+1/2,y+1/2,-z+1/2'
'x+1/2,-y+1/2,z+1/2'
loop_
_atom_site_label
_atom_site_type_symbol
_atom_site_fract_x
_atom_site_fract_y
_atom_site_fract_z
Al1 Al 0.000 0.000 0.000
Ga1 Ga 0.250 0.250 0.000
Pb1 Pb 0.000 0.372 0.250
# Formation energy: 108 meV per atom
# Fermi-level density of states: 4.5 states/eV/cell
# Excess energy over the best structure of this formula in the dataset: 0.728 kcal/mol of atoms

***

10.
# Al4GaPb | Alexandria | PBE | optimized geometry
data_Al4GaPb
_chemical_formula_sum 'Al16 Ga4 Pb4'
_symmetry_space_group_name_H-M 'F -4 3 m'
_symmetry_Int_Tables_number 216
_symmetry_space_group_name_Hall 'F -4 2 3'
_cell_length_a 7.894
_cell_length_b 7.894
_cell_length_c 7.894
_cell_angle_alpha 90.00
_cell_angle_beta 90.00
_cell_angle_gamma 90.00
loop_
_atom_site_label
_atom_site_type_symbol
_atom_site_fract_x
_atom_site_fract_y
_atom_site_fract_z
Al1 Al 0.124 0.124 0.376
Ga1 Ga 0.250 0.250 0.750
Pb1 Pb 0.000 0.000 0.000
# Formation energy: 175 meV per atom
# Fermi-level density of states: 15.6 states/eV/cell

***

11.
# AlGaPb | Alexandria | PBE | optimized geometry
data_AlGaPb
_chemical_formula_sum 'Al1 Ga1 Pb1'
_symmetry_space_group_name_H-M 'P -6 m 2'
_symmetry_Int_Tables_number 187
_symmetry_space_group_name_Hall 'P -6 2'
_cell_length_a 4.4287
_cell_length_b 4.4287
_cell_length_c 4.3172
_cell_angle_alpha 90.00
_cell_angle_beta 90.00
_cell_angle_gamma 120.00
loop_
_atom_site_label
_atom_site_type_symbol
_atom_site_fract_x
_atom_site_fract_y
_atom_site_fract_z
Al1 Al 0.0000 0.0000 0.0000
Ga1 Ga 0.6667 0.3333 0.0000
Pb1 Pb 0.3333 0.6667 0.5000
# Formation energy: 153 meV per atom
# Fermi-level density of states: 1.9 states/eV/cell
# Excess energy over the best structure of this formula in the dataset: 1.766 kcal/mol of atoms

***

12.
# Al2GaPb2 | Alexandria | PBE | optimized geometry
data_Al2GaPb2
_chemical_formula_sum 'Al4 Ga2 Pb4'
_symmetry_space_group_name_H-M 'P 4/m b m'
_symmetry_Int_Tables_number 127
_symmetry_space_group_name_Hall '-P 4 2ab'
_cell_length_a 6.811
_cell_length_b 6.811
_cell_length_c 5.256
_cell_angle_alpha 90.00
_cell_angle_beta 90.00
_cell_angle_gamma 90.00
loop_
_atom_site_label
_atom_site_type_symbol
_atom_site_fract_x
_atom_site_fract_y
_atom_site_fract_z
Al1 Al 0.137 0.363 0.000
Ga1 Ga 0.000 0.000 0.000
Pb1 Pb 0.186 0.686 0.500
# Formation energy: 157 meV per atom
# Fermi-level density of states: 5.9 states/eV/cell
# Excess energy over the best structure of this formula in the dataset: 0.000 kcal/mol of atoms

***

Q: Which of these has the highest formation energy?
A: number 6